[1]
Density functional theory data (PBE-GGA) for a geometry-optimized Pm2SiPt6 structure.

Results
Size of the total moment = 0.002 μB/cell
E_tot = -60.4 eV per cell

Structure (CIF):
```
data_Pm2SiPt6
_chemical_formula_sum 'Pm2 Si1 Pt6'
_cell_length_a 5.7115
_cell_length_b 5.7115
_cell_length_c 5.8860
_cell_angle_alpha 90.00
_cell_angle_beta 90.00
_cell_angle_gamma 120.00
_space_group_name_H-M_alt 'P -3 m 1'
_space_group_IT_number 164
_space_group_name_Hall '-P 3 2"'
loop_
_atom_site_label
_atom_site_type_symbol
_atom_site_fract_x
_atom_site_fract_y
_atom_site_fract_z
_atom_site_occupancy
Pm1 Pm 0.3333 0.6667 0.3417 1
Si1 Si 0.0000 0.0000 0.5000 1
Pt1 Pt 0.1707 0.3413 0.8019 1
```

[2]
Density functional theory data (PBE-GGA) for a geometry-optimized RbHgI6 structure.

Results
E_tot = -14.1 eV per cell

Structure (CIF):
```
data_RbHgI6
_chemical_formula_sum 'Rb1 Hg1 I6'
_cell_length_a 6.064
_cell_length_b 8.748
_cell_length_c 8.919
_cell_angle_alpha 100.93
_cell_angle_beta 109.59
_cell_angle_gamma 106.98
_space_group_name_H-M_alt 'P -1'
_space_group_IT_number 2
_space_group_name_Hall '-P 1'
loop_
_atom_site_label
_atom_site_type_symbol
_atom_site_fract_x
_atom_site_fract_y
_atom_site_fract_z
_atom_site_occupancy
Rb1 Rb 0.000 0.000 0.000 1
Hg1 Hg 0.000 0.500 0.500 1
I1 I 0.215 0.244 0.720 1
I2 I 0.254 0.711 0.247 1
I3 I 0.292 0.770 0.772 1
```

[3]
Density functional theory data (PBE-GGA) for a geometry-optimized Te2PdBr2Cl4 structure.

Results
E_tot = -26.3 eV per cell

Structure (CIF):
```
data_Te2PdBr2Cl4
_chemical_formula_sum 'Te2 Pd1 Br2 Cl4'
_cell_length_a 4.797
_cell_length_b 7.386
_cell_length_c 9.039
_cell_angle_alpha 105.75
_cell_angle_beta 94.84
_cell_angle_gamma 94.31
_space_group_name_H-M_alt 'P -1'
_space_group_IT_number 2
_space_group_name_Hall '-P 1'
loop_
_atom_site_label
_atom_site_type_symbol
_atom_site_fract_x
_atom_site_fract_y
_atom_site_fract_z
_atom_site_occupancy
Te1 Te 0.130 0.277 0.291 1
Pd1 Pd 0.500 0.500 0.500 1
Br1 Br 0.383 0.981 0.270 1
Cl1 Cl 0.197 0.386 0.652 1
Cl2 Cl 0.234 0.323 0.053 1
```